The following is a DFT calculation (PBE) of a relaxed structure of DyYThSc.

Cell lengths 5.551, 5.551, 5.551 Å; angles 60.00, 60.00, 60.00 degrees
Fractional positions:
Sc 0.750 0.750 0.750
Y 0.250 0.250 0.250
Dy 0.500 0.500 0.500
Th 0.000 0.000 0.000

## Properties
Formation energy ... 0.1177 eV/atom
E_tot ... -6.09 eV per atom
Total magnetization ... 0.0 μB per cell
Energy relative to the lowest polymorph listed for this composition ... 94 meV per atom